{"formula": "CePr6S8", "functional": "PBE-GGA", "state": "optimized geometry", "e_form_raw_ev_per_atom": -2.0184, "e_tot_ev_per_atom": -6.527, "crystal_system": "cubic", "lattice_angstrom": [[0.0000, 5.7949, 5.7949], [5.7949, 0.0000, 5.7949], [5.7949, 5.7949, 0.0000]], "species": ["Ce", "Pr", "Pr", "Pr", "Pr", "Pr", "Pr", "S", "S", "S", "S", "S", "S", "S", "S"], "fractional_positions": [[0.0000, 0.0000, 0.0000], [0.0000, 0.0000, 0.5000], [0.0000, 0.5000, 0.0000], [0.0000, 0.5000, 0.5000], [0.5000, 0.0000, 0.0000], [0.5000, 0.0000, 0.5000], [0.5000, 0.5000, 0.0000], [0.2468, 0.2468, 0.7532], [0.2468, 0.7532, 0.2468], [0.2468, 0.7532, 0.7532], [0.2500, 0.2500, 0.2500], [0.7500, 0.7500, 0.7500], [0.7532, 0.2468, 0.2468], [0.7532, 0.2468, 0.7532], [0.7532, 0.7532, 0.2468]]}